VASP calculation (PBE+U) on a geometry-optimized SmCo2SbO6 structure.

- M_tot: 0.00 Bohr magnetons per cell
- Total DFT energy (no corrections): -6.443 eV per atom
- N(E_F): 1.12 states/eV per cell

a = 5.4267 Å, b = 5.4267 Å, c = 5.3194 Å
α = 59.33°, β = 59.33°, γ = 60.00°
Fractional positions:
Sm 0.7754 0.7754 0.6737
Co 0.5195 0.5195 0.4414
Co 0.0164 0.0164 0.9507
Sb 0.2948 0.2948 0.1156
O 0.6827 0.2580 0.2079
O 0.2580 0.8513 0.2079
O 0.8513 0.6827 0.2080
O 0.3441 0.7279 0.7367
O 0.7279 0.1913 0.7366
O 0.1913 0.3441 0.7366